Computed, not measured: a PBEsol-optimized structure of KZn2Pb2 at the SCAN level of DFT.

Cell: 4.7596 4.7596 11.7083 Å, 90.00 90.00 90.00°
Closest atoms and distances in Å follow each position.
Space group I4/mmm (No. 139)
Unique sites:
K 0.0000 0.0000 0.0000  8 Zn 3.58, 8 Pb 3.77
Zn 0.0000 0.0000 0.3957  1 Zn 2.44
Pb 0.0000 0.5000 0.2500  4 Zn 2.93

Formation energy (eV per atom): -0.125
Raw total energy (eV for the cell shown): -375.09

Computed, not measured: a PBEsol-optimized structure of K3PdPt at the SCAN level of DFT.

Cell: 5.6610 5.6610 5.6610 Å, 90.00 90.00 90.00°
Closest atoms and distances in Å follow each position.
Space group Pm-3m (No. 221)
Unique sites:
K 0.0000 0.0000 0.5000  2 Pd 2.83
Pd 0.0000 0.0000 0.0000  6 K 2.83
Pt 0.5000 0.5000 0.5000  12 K 4.00

Formation energy (eV per atom): 0.529
Raw total energy (eV for the cell shown): -125.31